[1]
Pr5RuPb2: relaxed, GGA-PBE.

The space group is I4mm (No. 107) and the conventional cell measures 7.617, 7.617 and 8.764 Å, with angles of 90.00, 90.00 and 90.00 degrees. The inequivalent atoms are Pr at (0.000, 0.000, 0.000), Pr at (0.247, 0.247, 0.739), Ru at (0.000, 0.000, 0.320) and Pb at (0.000, 0.500, 0.483).

As for the final energy: -0.19419 hartree per atom. The energy above the most stable polymorph in this dataset is 235 meV/atom. The value obtained for the energy of formation is -162 kJ/mol of formula units. As for the crystal system: tetragonal. The density of states at the Fermi level is 16.25 states/eV/cell. For the theoretical density, the calculation gives 7.97 g/cm³. Its volume is 254.2 Å³/f.u.

---

[2]
Ce7TlRh2: relaxed, GGA-PBE.

The space group is Cmmm (No. 65) and the conventional cell measures 8.777, 13.236 and 5.312 Å, with angles of 90.00, 90.00 and 90.00 degrees. The inequivalent atoms are Ce at (0.000, 0.000, 0.000), Ce at (0.000, 0.217, 0.500), Ce at (0.166, 0.390, 0.000), Tl at (0.000, 0.500, 0.500) and Rh at (0.000, 0.192, 0.000).

As for the final energy: -0.21915 hartree per atom. The value obtained for the energy of formation is -99 kJ/mol of formula units. As for the crystal system: orthorhombic. The density of states at the Fermi level is 67.07 states/eV/cell. For the theoretical density, the calculation gives 7.49 g/cm³. Its volume is 308.5 Å³/f.u.

---

[3]
Pd6Pt3Au2: relaxed, GGA-PBE.

The space group is C2/c (No. 15) and the conventional cell measures 8.325, 4.808 and 18.651 Å, with angles of 90.00, 98.30 and 90.00 degrees. The inequivalent atoms are Pd at (0.043, 0.087, 0.376), Pd at (0.127, 0.414, 0.623), Pd at (0.208, 0.418, 0.876), Pt at (0.000, 0.422, 0.250), Pt at (0.167, 0.078, 0.750) and Au at (0.083, 0.250, 0.000).

As for the final energy: -0.18455 hartree per atom. The value obtained for the energy of formation is 57 kJ/mol of formula units. As for the crystal system: monoclinic. The density of states at the Fermi level is 76.81 states/eV/cell. For the theoretical density, the calculation gives 14.55 g/cm³. Its volume is 184.7 Å³/f.u.